Material: SmPuCoRu
Method: DFT, PBE
State: relaxed

Values from the calculation:
SG: No. 216
Density in g cm⁻³: 11.67
N(E_F) in states/eV/f.u.: 5.562
Formation energy in eV/f.u.: -0.2

Cell and atoms, written as POSCAR:
```
SmPuCoRu
1.0
0.000 3.404 3.404
3.404 0.000 3.404
3.404 3.404 0.000
Sm Pu Co Ru
1 1 1 1
Cartesian
0.000 0.000 0.000
3.404 3.404 3.404
1.702 1.702 1.702
5.106 5.106 5.106
```